# 1
Ba8NaIr2 | PBE | optimized geometry

Calculated values
* magnetization: 0.000 μB/f.u.
* total energy: -35.16 eV/f.u.
* formation enthalpy at 0 K: -6 kJ/mol of atoms

```
Ba8NaIr2
1.0
7.556 0.325 0.294
-0.178 7.171 -3.364
1.049 0.326 9.969
Ba Na Ir
8 1 2
Direct
0.610 0.899 0.292
0.390 0.607 0.708
0.916 0.795 0.590
0.084 0.205 0.410
0.610 0.393 0.292
0.390 0.101 0.708
0.183 0.578 0.155
0.817 0.422 0.845
0.000 0.000 0.000
0.311 0.725 0.450
0.689 0.275 0.550
```

# 2
Ba7Na3Ir2 | PBE | optimized geometry

Calculated values
* magnetization: 0.000 μB/f.u.
* total energy: -36.30 eV/f.u.
* formation enthalpy at 0 K: -9 kJ/mol of atoms

```
Ba7Na3Ir2
1.0
-2.196 -5.675 -1.330
4.233 -2.538 3.842
-12.014 2.373 9.714
Ba Na Ir
7 3 2
Direct
0.000 0.399 0.798
0.000 0.801 0.603
0.000 0.000 0.000
0.000 0.601 0.202
0.500 0.100 0.199
0.500 0.900 0.801
0.000 0.199 0.397
0.500 0.500 0.000
0.500 0.704 0.408
0.500 0.296 0.592
0.000 0.897 0.794
0.000 0.103 0.206
```

# 3
Ba5NaIr | PBE | optimized geometry

Calculated values
* magnetization: 0.000 μB/f.u.
* total energy: -20.30 eV/f.u.
* formation enthalpy at 0 K: -7 kJ/mol of atoms

```
Ba5NaIr
1.0
8.505 0.869 -0.054
3.522 7.790 -0.054
4.273 3.076 11.854
Ba Na Ir
10 2 2
Direct
0.994 0.631 0.117
0.180 0.585 0.531
0.631 0.994 0.617
0.961 0.039 0.250
0.415 0.820 0.969
0.585 0.180 0.031
0.039 0.961 0.750
0.369 0.006 0.383
0.820 0.415 0.469
0.006 0.369 0.883
0.498 0.502 0.250
0.502 0.498 0.750
0.000 0.000 0.000
0.000 0.000 0.500
```